[1]
The following is a PBE calculation of a relaxed LaNd3Se4 crystal, from Alexandria.

a = 7.383 Å, b = 7.383 Å, c = 4.221 Å
α = 90.00°, β = 90.00°, γ = 109.14°
Fractional positions:
La  0.000  0.000  0.000
Nd  0.000  0.500  0.500
Nd  0.500  0.000  0.500
Nd  0.500  0.500  0.000
Se  0.251  0.749  0.000
Se  0.253  0.253  0.500
Se  0.747  0.747  0.500
Se  0.749  0.251  0.000

## Properties
formation energy from raw total energies	-1.880	eV/atom
spin magnetization	0.0	μB/f.u.
calculated volume	217.4	Å³/f.u.
E_tot	-6.026	eV per atom
energy above the most stable polymorph in this dataset	0.33	kJ per mole of atoms

[2]
The following is a PBE calculation of a relaxed La2NdSe3 crystal, from Alexandria.

a = 7.415 Å, b = 7.415 Å, c = 7.415 Å
α = 146.34°, β = 131.75°, γ = 60.11°
Fractional positions:
La  0.167  0.167  0.000
La  0.833  0.833  0.000
Nd  0.500  0.500  0.000
Se  0.000  0.500  0.500
Se  0.336  0.836  0.500
Se  0.664  0.164  0.500

## Properties
formation energy from raw total energies	-1.947	eV/atom
spin magnetization	0.0	μB/f.u.
calculated volume	167.0	Å³/f.u.
E_tot	-6.126	eV per atom
energy above the most stable polymorph in this dataset	0.40	kJ per mole of atoms

[3]
The following is a PBE calculation of a relaxed La3NdSe4 crystal, from Alexandria.

a = 7.449 Å, b = 7.449 Å, c = 4.274 Å
α = 90.00°, β = 90.00°, γ = 109.30°
Fractional positions:
La  0.000  0.000  0.000
La  0.000  0.500  0.500
La  0.500  0.000  0.500
Nd  0.500  0.500  0.000
Se  0.252  0.748  0.000
Se  0.253  0.253  0.500
Se  0.747  0.747  0.500
Se  0.748  0.252  0.000

## Properties
formation energy from raw total energies	-1.962	eV/atom
spin magnetization	0.0	μB/f.u.
calculated volume	223.8	Å³/f.u.
E_tot	-6.148	eV per atom
energy above the most stable polymorph in this dataset	0.27	kJ per mole of atoms

[4]
The following is a PBE calculation of a relaxed LaNd4Se5 crystal, from Alexandria.

a = 15.348 Å, b = 15.348 Å, c = 15.348 Å
α = 164.10°, β = 164.10°, γ = 22.55°
Fractional positions:
La  0.000  0.000  0.000
Nd  0.198  0.198  0.000
Nd  0.398  0.398  0.000
Nd  0.602  0.602  0.000
Nd  0.802  0.802  0.000
Se  0.100  0.100  0.000
Se  0.299  0.299  0.000
Se  0.500  0.500  0.000
Se  0.701  0.701  0.000
Se  0.900  0.900  0.000

## Properties
formation energy from raw total energies	-1.869	eV/atom
spin magnetization	0.0	μB/f.u.
calculated volume	271.1	Å³/f.u.
E_tot	-6.011	eV per atom

Question: Which value of calculated volume does entry 3 give?
Answer: 223.8 Å³/f.u.

Question: Which of these has the highest formation energy from raw total energies?
Answer: LaNd4Se5